No. 1
Here is a geometry-optimized MnAuBr2 structure from the Alexandria database. Energies are from PBE.

Geometry as CIF:
```
data_MnAuBr2
_space_group_name_H-M_alt 'C 1 2/m 1'
_space_group_IT_number 12
_space_group_name_Hall '-C 2y'
_cell_length_a 7.7324
_cell_length_b 7.7928
_cell_length_c 3.5844
_cell_angle_alpha 90.00
_cell_angle_beta 96.62
_cell_angle_gamma 90.00
loop_
_atom_site_label
_atom_site_fract_x
_atom_site_fract_y
_atom_site_fract_z
Mn1 0.0000 0.0000 0.0000
Au1 0.0000 0.5000 0.0000
Br1 0.2500 0.2500 0.0000
```

Summary:
Its crystal system is monoclinic. Its uncorrected formation energy is 65 kJ/mol of formula units. The density of states at the Fermi level is 1.43 states/eV/f.u. The value obtained for the energy above the lowest structure with this stoichiometry is 433 meV per atom. The total energy comes out at -3.78 eV/atom. The calculation puts the volume at 26.82 A^3/atom.

=====

No. 2
Here is a geometry-optimized MnAuBr2 structure from the Alexandria database. Energies are from PBE.

Geometry as CIF:
```
data_MnAuBr2
_space_group_name_H-M_alt 'I m m m'
_space_group_IT_number 71
_space_group_name_Hall '-I 2 2'
_cell_length_a 3.4445
_cell_length_b 4.6662
_cell_length_c 13.9764
_cell_angle_alpha 90.00
_cell_angle_beta 90.00
_cell_angle_gamma 90.00
loop_
_atom_site_label
_atom_site_fract_x
_atom_site_fract_y
_atom_site_fract_z
Mn1 0.0000 0.0000 0.0000
Au1 0.0000 0.0000 0.5000
Br1 0.0000 0.5000 0.3590
```

Summary:
Its crystal system is orthorhombic. Its uncorrected formation energy is -55 kJ/mol of formula units. The density of states at the Fermi level is 1.32 states/eV/f.u. The value obtained for the energy above the lowest structure with this stoichiometry is 123 meV per atom. The total energy comes out at -4.09 eV/atom. The calculation puts the volume at 28.08 A^3/atom.

=====

No. 3
Here is a geometry-optimized MnAuBr3 structure from the Alexandria database. Energies are from PBE.

Geometry as CIF:
```
data_MnAuBr3
_space_group_name_H-M_alt 'P m -3 m'
_space_group_IT_number 221
_space_group_name_Hall '-P 4 2 3'
_cell_length_a 5.1542
_cell_length_b 5.1542
_cell_length_c 5.1542
_cell_angle_alpha 90.00
_cell_angle_beta 90.00
_cell_angle_gamma 90.00
loop_
_atom_site_label
_atom_site_fract_x
_atom_site_fract_y
_atom_site_fract_z
Mn1 0.0000 0.0000 0.0000
Au1 0.5000 0.5000 0.5000
Br1 0.0000 0.0000 0.5000
```

Summary:
Its crystal system is cubic. Its uncorrected formation energy is -12 kJ/mol of formula units. The density of states at the Fermi level is 1.42 states/eV/f.u. The value obtained for the energy above the lowest structure with this stoichiometry is 0 meV per atom. The total energy comes out at -3.52 eV/atom. The calculation puts the volume at 27.39 A^3/atom.

=====

No. 4
Here is a geometry-optimized MnAu4Br structure from the Alexandria database. Energies are from PBE.

Geometry as CIF:
```
data_MnAu4Br
_space_group_name_H-M_alt 'F -4 3 m'
_space_group_IT_number 216
_space_group_name_Hall 'F -4 2 3'
_cell_length_a 7.9040
_cell_length_b 7.9040
_cell_length_c 7.9040
_cell_angle_alpha 90.00
_cell_angle_beta 90.00
_cell_angle_gamma 90.00
loop_
_atom_site_label
_atom_site_fract_x
_atom_site_fract_y
_atom_site_fract_z
Mn1 0.0000 0.0000 0.0000
Au1 0.1252 0.1252 0.6252
Br1 0.2500 0.2500 0.2500
```

Summary:
Its crystal system is cubic. Its uncorrected formation energy is 129 kJ/mol of formula units. The density of states at the Fermi level is 3.65 states/eV/f.u. The total energy comes out at -3.77 eV/atom. The calculation puts the volume at 20.57 A^3/atom.

=====

No. 5
Here is a geometry-optimized MnAuBr2 structure from the Alexandria database. Energies are from PBE.

Geometry as CIF:
```
data_MnAuBr2
_space_group_name_H-M_alt 'P 4/m m m'
_space_group_IT_number 123
_space_group_name_Hall '-P 4 2'
_cell_length_a 3.2685
_cell_length_b 3.2685
_cell_length_c 10.1949
_cell_angle_alpha 90.00
_cell_angle_beta 90.00
_cell_angle_gamma 90.00
loop_
_atom_site_label
_atom_site_fract_x
_atom_site_fract_y
_atom_site_fract_z
Mn1 0.0000 0.0000 0.0000
Au1 0.0000 0.0000 0.5000
Br1 0.5000 0.5000 0.1625
```

Summary:
Its crystal system is tetragonal. Its uncorrected formation energy is 42 kJ/mol of formula units. The density of states at the Fermi level is 0.95 states/eV/f.u. The value obtained for the energy above the lowest structure with this stoichiometry is 373 meV per atom. The total energy comes out at -3.84 eV/atom. The calculation puts the volume at 27.23 A^3/atom.

=====

No. 6
Here is a geometry-optimized MnAuBr2 structure from the Alexandria database. Energies are from PBE.

Geometry as CIF:
```
data_MnAuBr2
_space_group_name_H-M_alt 'P 1 m 1'
_space_group_IT_number 6
_space_group_name_Hall 'P -2y'
_cell_length_a 3.9296
_cell_length_b 3.5580
_cell_length_c 7.8091
_cell_angle_alpha 90.00
_cell_angle_beta 102.17
_cell_angle_gamma 90.00
loop_
_atom_site_label
_atom_site_fract_x
_atom_site_fract_y
_atom_site_fract_z
Mn1 0.0000 0.0000 0.0000
Au1 0.4103 0.5000 0.8698
Br1 0.0758 0.5000 0.2396
Br2 0.7708 0.0000 0.6754
```

Summary:
Its crystal system is monoclinic. Its uncorrected formation energy is -85 kJ/mol of formula units. The density of states at the Fermi level is 0.62 states/eV/f.u. The value obtained for the energy above the lowest structure with this stoichiometry is 43 meV per atom. The total energy comes out at -4.17 eV/atom. The calculation puts the volume at 26.68 A^3/atom.

=====

No. 7
Here is a geometry-optimized Mn2AuBr6 structure from the Alexandria database. Energies are from PBE.

Geometry as CIF:
```
data_Mn2AuBr6
_space_group_name_H-M_alt 'C 1 2/c 1'
_space_group_IT_number 15
_space_group_name_Hall '-C 2yc'
_cell_length_a 13.5074
_cell_length_b 16.1455
_cell_length_c 6.9725
_cell_angle_alpha 90.00
_cell_angle_beta 121.02
_cell_angle_gamma 90.00
loop_
_atom_site_label
_atom_site_fract_x
_atom_site_fract_y
_atom_site_fract_z
Mn1 0.2502 0.0759 0.1287
Au1 0.0000 0.2496 0.7500
Br1 0.0744 0.1430 0.0772
Br2 0.0748 0.3562 0.5718
Br3 0.2494 0.4319 0.2330
```

Summary:
Its crystal system is monoclinic. Its uncorrected formation energy is -441 kJ/mol of formula units. The density of states at the Fermi level is 0.71 states/eV/f.u. The total energy comes out at -4.03 eV/atom. The calculation puts the volume at 36.20 A^3/atom.

=====

No. 8
Here is a geometry-optimized MnAuBr2 structure from the Alexandria database. Energies are from PBE.

Geometry as CIF:
```
data_MnAuBr2
_space_group_name_H-M_alt 'R -3 m'
_space_group_IT_number 166
_space_group_name_Hall '-R 3 2"'
_cell_length_a 3.5707
_cell_length_b 3.5707
_cell_length_c 30.5913
_cell_angle_alpha 90.00
_cell_angle_beta 90.00
_cell_angle_gamma 120.00
loop_
_atom_site_label
_atom_site_fract_x
_atom_site_fract_y
_atom_site_fract_z
Mn1 0.0000 0.0000 0.0000
Au1 0.0000 0.0000 0.5000
Br1 0.0000 0.0000 0.2796
```

Summary:
Its crystal system is trigonal. Its uncorrected formation energy is -41 kJ/mol of formula units. The density of states at the Fermi level is 1.47 states/eV/f.u. The value obtained for the energy above the lowest structure with this stoichiometry is 158 meV per atom. The total energy comes out at -4.05 eV/atom. The calculation puts the volume at 28.15 A^3/atom.

=====

No. 9
Here is a geometry-optimized Mn2AuBr2 structure from the Alexandria database. Energies are from PBE.

Geometry as CIF:
```
data_Mn2AuBr2
_space_group_name_H-M_alt 'I 4/m m m'
_space_group_IT_number 139
_space_group_name_Hall '-I 4 2'
_cell_length_a 3.4869
_cell_length_b 3.4869
_cell_length_c 17.8240
_cell_angle_alpha 90.00
_cell_angle_beta 90.00
_cell_angle_gamma 90.00
loop_
_atom_site_label
_atom_site_fract_x
_atom_site_fract_y
_atom_site_fract_z
Mn1 0.0000 0.5000 0.2500
Au1 0.0000 0.0000 0.0000
Br1 0.0000 0.0000 0.3537
```

Summary:
Its crystal system is tetragonal. Its uncorrected formation energy is 199 kJ/mol of formula units. The density of states at the Fermi level is 2.25 states/eV/f.u. The value obtained for the energy above the lowest structure with this stoichiometry is 56 meV per atom. The total energy comes out at -4.58 eV/atom. The calculation puts the volume at 21.67 A^3/atom.

=====

No. 10
Here is a geometry-optimized Mn3Au5Br12 structure from the Alexandria database. Energies are from PBE.

Geometry as CIF:
```
data_Mn3Au5Br12
_space_group_name_H-M_alt 'I a -3 d'
_space_group_IT_number 230
_space_group_name_Hall '-I 4bd 2c 3'
_cell_length_a 17.2380
_cell_length_b 17.2380
_cell_length_c 17.2380
_cell_angle_alpha 90.00
_cell_angle_beta 90.00
_cell_angle_gamma 90.00
loop_
_atom_site_label
_atom_site_fract_x
_atom_site_fract_y
_atom_site_fract_z
Mn1 0.0000 0.2500 0.1250
Au1 0.0000 0.0000 0.0000
Au2 0.0000 0.2500 0.3750
Br1 0.0110 0.0187 0.3422
```

Summary:
Its crystal system is cubic. Its uncorrected formation energy is -302 kJ/mol of formula units. The density of states at the Fermi level is 3.92 states/eV/f.u. The total energy comes out at -3.35 eV/atom. The calculation puts the volume at 32.01 A^3/atom.

=====

No. 11
Here is a geometry-optimized MnAuBr2 structure from the Alexandria database. Energies are from PBE.

Geometry as CIF:
```
data_MnAuBr2
_space_group_name_H-M_alt 'P 4/m m m'
_space_group_IT_number 123
_space_group_name_Hall '-P 4 2'
_cell_length_a 4.8775
_cell_length_b 4.8775
_cell_length_c 3.6863
_cell_angle_alpha 90.00
_cell_angle_beta 90.00
_cell_angle_gamma 90.00
loop_
_atom_site_label
_atom_site_fract_x
_atom_site_fract_y
_atom_site_fract_z
Mn1 0.0000 0.0000 0.0000
Au1 0.5000 0.5000 0.0000
Br1 0.0000 0.5000 0.5000
```

Summary:
Its crystal system is tetragonal. Its uncorrected formation energy is 108 kJ/mol of formula units. The density of states at the Fermi level is 1.42 states/eV/f.u. The value obtained for the energy above the lowest structure with this stoichiometry is 543 meV per atom. The total energy comes out at -3.67 eV/atom. The calculation puts the volume at 21.92 A^3/atom.

=====

No. 12
Here is a geometry-optimized MnAuBr2 structure from the Alexandria database. Energies are from PBE.

Geometry as CIF:
```
data_MnAuBr2
_space_group_name_H-M_alt 'R -3 m'
_space_group_IT_number 166
_space_group_name_Hall '-R 3 2"'
_cell_length_a 3.5996
_cell_length_b 3.5996
_cell_length_c 29.0186
_cell_angle_alpha 90.00
_cell_angle_beta 90.00
_cell_angle_gamma 120.00
loop_
_atom_site_label
_atom_site_fract_x
_atom_site_fract_y
_atom_site_fract_z
Mn1 0.0000 0.0000 0.0000
Au1 0.0000 0.0000 0.5000
Br1 0.0000 0.0000 0.3898
```

Summary:
Its crystal system is trigonal. Its uncorrected formation energy is -42 kJ/mol of formula units. The density of states at the Fermi level is 0.70 states/eV/f.u. The value obtained for the energy above the lowest structure with this stoichiometry is 156 meV per atom. The total energy comes out at -4.06 eV/atom. The calculation puts the volume at 27.13 A^3/atom.